[1]
Computed, not measured: a relaxed Li2VSi2O6 crystal at the PBEsol level of DFT.

Properties
Crystal system = orthorhombic
Final energy = -82.6 eV/f.u.
Calculated volume = 689 Å³/cell

Lattice parameters (Å, degrees): 7.072 9.670 10.082 90.00 90.00 90.00
Last column: magnetic moment on the atom in μB.
Fractional coordinates of all 66 atoms:
Li1 0.798 0.244 0.000  0.00
Li2 0.741 0.742 0.000  0.01
Li3 0.293 0.465 0.228  0.00
Li4 0.208 0.029 0.230  0.00
Li5 0.792 0.529 0.270  0.00
Li6 0.707 0.965 0.272  0.00
Li7 0.259 0.242 0.500  0.01
Li8 0.202 0.744 0.500  0.00
Li9 0.707 0.965 0.728  0.00
Li10 0.792 0.529 0.730  0.00
Li11 0.208 0.029 0.770  0.00
Li12 0.293 0.465 0.772  0.00
V1 0.247 0.248 0.000  2.56
V2 0.982 0.016 0.000  2.59
V3 0.520 0.472 0.000  2.59
V4 0.018 0.516 0.500  2.59
V5 0.480 0.972 0.500  2.59
V6 0.753 0.748 0.500  2.56
Si1 0.986 0.534 0.000  0.01
Si2 0.517 0.966 0.000  0.01
Si3 0.025 0.756 0.229  0.01
Si4 0.479 0.741 0.229  0.01
Si5 0.521 0.241 0.271  0.01
Si6 0.975 0.256 0.271  0.01
Si7 0.483 0.466 0.500  0.01
Si8 0.014 0.034 0.500  0.01
Si9 0.975 0.256 0.729  0.01
Si10 0.521 0.241 0.729  0.01
Si11 0.479 0.741 0.771  0.01
Si12 0.025 0.756 0.771  0.01
O1 0.302 0.025 0.000  0.00
O2 0.694 0.069 0.000  0.00
O3 0.199 0.473 0.000  0.00
O4 0.809 0.430 0.000  0.01
O5 0.036 0.189 0.129  0.00
O6 0.564 0.855 0.122  0.00
O7 0.937 0.643 0.123  0.00
O8 0.450 0.308 0.132  0.00
O9 0.957 0.910 0.191  0.00
O10 0.546 0.587 0.189  0.00
O11 0.748 0.250 0.283  0.00
O12 0.252 0.750 0.217  0.00
O13 0.454 0.087 0.311  0.00
O14 0.043 0.410 0.309  0.00
O15 0.550 0.808 0.368  0.00
O16 0.063 0.143 0.377  0.00
O17 0.436 0.355 0.378  0.00
O18 0.964 0.689 0.371  0.00
O19 0.698 0.525 0.500  0.00
O20 0.306 0.569 0.500  0.00
O21 0.191 0.930 0.500  0.01
O22 0.801 0.973 0.500  0.00
O23 0.964 0.689 0.629  0.00
O24 0.436 0.355 0.622  0.00
O25 0.063 0.143 0.623  0.00
O26 0.550 0.808 0.632  0.00
O27 0.043 0.410 0.691  0.00
O28 0.454 0.087 0.689  0.00
O29 0.252 0.750 0.783  0.00
O30 0.748 0.250 0.717  0.00
O31 0.546 0.587 0.811  0.00
O32 0.957 0.910 0.809  0.00
O33 0.450 0.308 0.868  0.00
O34 0.937 0.643 0.877  0.00
O35 0.564 0.855 0.878  0.00
O36 0.036 0.189 0.871  0.00

---

[2]
Computed, not measured: a relaxed Li3VSi2O7 crystal at the PBEsol level of DFT.

Properties
Crystal system = orthorhombic
Final energy = -95.6 eV/f.u.
Calculated volume = 537 Å³/cell

Lattice parameters (Å, degrees): 4.942 8.870 12.256 90.00 90.00 90.00
Last column: magnetic moment on the atom in μB.
Fractional coordinates of all 52 atoms:
Li1 0.031 0.330 0.094  0.00
Li2 0.031 0.330 0.406  0.00
Li3 0.019 0.016 0.250  0.00
Li4 0.481 0.516 0.250  0.00
Li5 0.469 0.830 0.094  0.00
Li6 0.469 0.830 0.406  0.00
Li7 0.531 0.170 0.594  0.00
Li8 0.531 0.170 0.906  0.00
Li9 0.519 0.484 0.750  0.00
Li10 0.981 0.984 0.750  0.00
Li11 0.969 0.670 0.906  0.00
Li12 0.969 0.670 0.594  0.00
V1 0.000 0.000 0.000  1.83
V2 0.000 0.000 0.500  1.83
V3 0.500 0.500 0.500  1.83
V4 0.500 0.500 0.000  1.83
Si1 0.007 0.318 0.631  0.01
Si2 0.007 0.318 0.869  0.01
Si3 0.493 0.818 0.631  0.01
Si4 0.493 0.818 0.869  0.01
Si5 0.507 0.182 0.131  0.01
Si6 0.507 0.182 0.369  0.01
Si7 0.993 0.682 0.131  0.01
Si8 0.993 0.682 0.369  0.01
O1 0.069 0.861 0.129  0.00
O2 0.069 0.861 0.371  0.00
O3 0.101 0.612 0.250  0.00
O4 0.169 0.605 0.034  -0.01
O5 0.169 0.605 0.466  -0.01
O6 0.173 0.858 0.618  0.00
O7 0.173 0.858 0.882  0.00
O8 0.327 0.358 0.618  0.00
O9 0.327 0.358 0.882  0.00
O10 0.331 0.105 0.034  -0.01
O11 0.331 0.105 0.466  -0.01
O12 0.399 0.112 0.250  0.00
O13 0.431 0.361 0.129  0.00
O14 0.431 0.361 0.371  0.00
O15 0.569 0.639 0.629  0.00
O16 0.569 0.639 0.871  0.00
O17 0.601 0.888 0.750  0.00
O18 0.669 0.895 0.534  -0.01
O19 0.669 0.895 0.966  -0.01
O20 0.673 0.642 0.118  0.00
O21 0.673 0.642 0.382  0.00
O22 0.827 0.142 0.382  0.00
O23 0.827 0.142 0.118  0.00
O24 0.831 0.395 0.534  -0.01
O25 0.831 0.395 0.966  -0.01
O26 0.899 0.388 0.750  0.00
O27 0.931 0.139 0.629  0.00
O28 0.931 0.139 0.871  0.00

---

[3]
Computed, not measured: a relaxed Li3VSi6O15 crystal at the PBEsol level of DFT.

Properties
Crystal system = orthorhombic
Final energy = -194.2 eV/f.u.
Calculated volume = 1195 Å³/cell

Lattice parameters (Å, degrees): 10.103 10.966 10.966 100.33 90.00 90.00
Last column: magnetic moment on the atom in μB.
Fractional coordinates of all 100 atoms:
Li1 0.000 0.240 0.240  0.00
Li2 0.250 0.016 0.484  0.00
Li3 0.750 0.484 0.016  0.00
Li4 0.500 0.260 0.260  0.00
Li5 0.807 0.939 0.061  0.00
Li6 0.693 0.439 0.561  0.00
Li7 0.307 0.561 0.439  0.00
Li8 0.193 0.061 0.939  0.00
Li9 0.500 0.740 0.740  0.00
Li10 0.750 0.984 0.516  0.00
Li11 0.250 0.516 0.984  0.00
Li12 0.000 0.760 0.760  0.00
V1 0.250 0.342 0.158  1.84
V2 0.750 0.158 0.342  1.84
V3 0.750 0.658 0.842  1.84
V4 0.250 0.842 0.658  1.84
Si1 0.805 0.189 0.043  0.00
Si2 0.195 0.043 0.189  0.00
Si3 0.695 0.457 0.311  0.00
Si4 0.305 0.311 0.457  0.00
Si5 0.486 0.764 0.017  0.00
Si6 0.986 0.517 0.264  0.00
Si7 0.514 0.017 0.764  0.00
Si8 0.014 0.264 0.517  0.00
Si9 0.455 0.579 0.201  0.00
Si10 0.045 0.079 0.701  0.00
Si11 0.955 0.701 0.079  0.00
Si12 0.545 0.201 0.579  0.00
Si13 0.455 0.799 0.421  0.00
Si14 0.955 0.921 0.299  0.00
Si15 0.045 0.299 0.921  0.00
Si16 0.545 0.421 0.799  0.00
Si17 0.014 0.483 0.736  0.00
Si18 0.486 0.983 0.236  0.00
Si19 0.986 0.736 0.483  0.00
Si20 0.514 0.236 0.983  0.00
Si21 0.695 0.689 0.543  0.00
Si22 0.305 0.543 0.689  0.00
Si23 0.805 0.957 0.811  0.00
Si24 0.195 0.811 0.957  0.00
O1 0.080 0.011 0.282  0.00
O2 0.920 0.282 0.011  0.00
O3 0.667 0.263 0.032  0.00
O4 0.333 0.032 0.263  0.00
O5 0.835 0.145 0.172  0.00
O6 0.165 0.172 0.145  0.00
O7 0.414 0.256 0.097  -0.01
O8 0.586 0.097 0.256  -0.01
O9 0.326 0.508 0.142  0.00
O10 0.826 0.642 0.008  0.00
O11 0.174 0.008 0.642  0.00
O12 0.674 0.142 0.508  0.00
O13 0.086 0.403 0.244  -0.01
O14 0.914 0.244 0.403  -0.01
O15 0.665 0.328 0.355  0.00
O16 0.335 0.355 0.328  0.00
O17 0.167 0.237 0.468  0.00
O18 0.833 0.468 0.237  0.00
O19 0.580 0.489 0.218  0.00
O20 0.420 0.218 0.489  0.00
O21 0.014 0.615 0.172  0.00
O22 0.514 0.672 0.115  0.00
O23 0.986 0.172 0.615  0.00
O24 0.486 0.115 0.672  0.00
O25 0.002 0.406 0.594  0.00
O26 0.419 0.658 0.342  0.00
O27 0.195 0.941 0.059  0.00
O28 0.498 0.906 0.094  0.00
O29 0.919 0.842 0.158  0.00
O30 0.695 0.559 0.441  0.00
O31 0.081 0.158 0.842  0.00
O32 0.998 0.594 0.406  0.00
O33 0.581 0.342 0.658  0.00
O34 0.805 0.059 0.941  0.00
O35 0.305 0.441 0.559  0.00
O36 0.502 0.094 0.906  0.00
O37 0.514 0.885 0.328  0.00
O38 0.486 0.328 0.885  0.00
O39 0.014 0.828 0.385  0.00
O40 0.986 0.385 0.828  0.00
O41 0.580 0.782 0.511  0.00
O42 0.420 0.511 0.782  0.00
O43 0.833 0.763 0.532  0.00
O44 0.167 0.532 0.763  0.00
O45 0.335 0.672 0.645  0.00
O46 0.665 0.645 0.672  0.00
O47 0.086 0.756 0.597  -0.01
O48 0.914 0.597 0.756  -0.01
O49 0.826 0.992 0.358  0.00
O50 0.326 0.858 0.492  0.00
O51 0.174 0.358 0.992  0.00
O52 0.674 0.492 0.858  0.00
O53 0.414 0.903 0.744  -0.01
O54 0.586 0.744 0.903  -0.01
O55 0.835 0.828 0.855  0.00
O56 0.165 0.855 0.828  0.00
O57 0.667 0.968 0.737  0.00
O58 0.333 0.737 0.968  0.00
O59 0.920 0.989 0.718  0.00
O60 0.080 0.718 0.989  0.00

---

[4]
Computed, not measured: a relaxed LiVSiO4 crystal at the PBEsol level of DFT.

Properties
Crystal system = monoclinic
Final energy = -54.8 eV/f.u.
Calculated volume = 343 Å³/cell
Energy above the lowest structure with this stoichiometry = 10.8 kJ/mol of atoms

Lattice parameters (Å, degrees): 5.033 6.667 10.221 90.00 90.00 91.59
Last column: magnetic moment on the atom in μB.
Fractional coordinates of all 28 atoms:
Li1 0.691 0.990 0.654  0.00
Li2 0.809 0.510 0.154  0.00
Li3 0.191 0.490 0.846  0.00
Li4 0.309 0.010 0.346  0.00
V1 0.179 0.982 0.835  1.80
V2 0.321 0.518 0.335  1.80
V3 0.679 0.482 0.665  1.80
V4 0.821 0.018 0.165  1.80
Si1 0.684 0.240 0.908  0.02
Si2 0.816 0.260 0.408  0.02
Si3 0.184 0.740 0.592  0.02
Si4 0.316 0.760 0.092  0.02
O1 0.635 0.772 0.124  0.01
O2 0.865 0.728 0.624  0.01
O3 0.135 0.272 0.376  0.01
O4 0.365 0.228 0.876  0.01
O5 0.683 0.457 0.339  0.00
O6 0.817 0.043 0.839  0.00
O7 0.183 0.957 0.161  0.00
O8 0.317 0.543 0.661  0.00
O9 0.693 0.055 0.338  0.00
O10 0.807 0.445 0.838  0.00
O11 0.193 0.555 0.162  0.00
O12 0.307 0.945 0.662  0.00
O13 0.751 0.253 0.565  0.00
O14 0.749 0.247 0.065  0.00
O15 0.251 0.753 0.935  0.00
O16 0.249 0.747 0.435  0.00

---

[5]
Computed, not measured: a relaxed LiVSiO4 crystal at the PBEsol level of DFT.

Properties
Crystal system = orthorhombic
Final energy = -55.4 eV/f.u.
Calculated volume = 135 Å³/cell
Energy above the lowest structure with this stoichiometry = 2.4 kJ/mol of atoms

Lattice parameters (Å, degrees): 4.929 4.929 6.031 90.00 90.00 113.37
Last column: magnetic moment on the atom in μB.
Fractional coordinates of all 14 atoms:
Li1 0.667 0.333 0.250  0.00
Li2 0.333 0.667 0.750  0.00
V1 0.000 0.000 0.000  1.84
V2 0.000 0.000 0.500  1.84
Si1 0.653 0.347 0.750  0.02
Si2 0.347 0.653 0.250  0.02
O1 0.234 0.284 0.250  -0.01
O2 0.284 0.234 0.750  -0.01
O3 0.766 0.716 0.750  -0.01
O4 0.716 0.766 0.250  -0.01
O5 0.235 0.765 0.031  -0.01
O6 0.765 0.235 0.531  -0.01
O7 0.235 0.765 0.469  -0.01
O8 0.765 0.235 0.969  -0.01

---

[6]
Computed, not measured: a relaxed LiVSiO5 crystal at the PBEsol level of DFT.

Properties
Crystal system = orthorhombic
Final energy = -63.1 eV/f.u.
Calculated volume = 362 Å³/cell
Energy above the lowest structure with this stoichiometry = 3.8 kJ/mol of atoms

Lattice parameters (Å, degrees): 4.422 8.894 9.210 90.00 90.00 90.00
Fractional coordinates of all 32 atoms:
Li1 0.348 0.000 0.010
Li2 0.652 0.000 0.510
Li3 0.974 0.500 0.733
Li4 0.026 0.500 0.233
V1 0.056 0.000 0.292
V2 0.944 0.000 0.792
V3 0.418 0.500 0.499
V4 0.582 0.500 0.999
Si1 0.516 0.751 0.249
Si2 0.484 0.751 0.749
Si3 0.484 0.249 0.749
Si4 0.516 0.249 0.249
O1 0.233 0.000 0.445
O2 0.767 0.000 0.945
O3 0.265 0.861 0.173
O4 0.735 0.861 0.673
O5 0.768 0.856 0.331
O6 0.232 0.856 0.831
O7 0.703 0.642 0.137
O8 0.297 0.642 0.637
O9 0.325 0.641 0.357
O10 0.675 0.641 0.857
O11 0.781 0.500 0.510
O12 0.219 0.500 0.010
O13 0.325 0.359 0.357
O14 0.675 0.359 0.857
O15 0.703 0.358 0.137
O16 0.297 0.358 0.637
O17 0.768 0.144 0.331
O18 0.232 0.144 0.831
O19 0.735 0.139 0.673
O20 0.265 0.139 0.173

---

[7]
Computed, not measured: a relaxed Li2V2Si3O9 crystal at the PBEsol level of DFT.

Properties
Crystal system = trigonal
Final energy = -124.9 eV/f.u.
Calculated volume = 1044 Å³/cell

Lattice parameters (Å, degrees): 9.922 9.922 12.246 90.00 90.00 120.00
Last column: magnetic moment on the atom in μB.
Fractional coordinates of all 96 atoms:
Li1 0.176 0.513 0.832  0.00
Li2 0.129 0.220 0.984  0.00
Li3 0.091 0.871 0.317  0.00
Li4 0.338 0.824 0.165  0.00
Li5 0.780 0.909 0.651  0.00
Li6 0.173 0.511 0.330  0.00
Li7 0.016 0.620 0.216  0.00
Li8 0.487 0.662 0.499  0.00
Li9 0.489 0.663 0.996  0.00
Li10 0.604 0.984 0.550  0.00
Li11 0.380 0.396 0.883  0.00
Li12 0.337 0.827 0.663  0.00
V1 0.998 0.178 0.508  2.64
V2 0.180 0.002 0.841  2.64
V3 0.822 0.820 0.175  2.64
V4 0.001 0.660 0.755  2.63
V5 0.966 0.633 0.997  2.56
V6 0.833 0.325 0.155  2.57
V7 0.675 0.507 0.822  2.57
V8 0.340 0.340 0.422  2.63
V9 0.367 0.333 0.663  2.56
V10 0.667 0.034 0.330  2.56
V11 0.660 0.999 0.088  2.63
V12 0.493 0.167 0.488  2.57
Si1 0.198 0.483 0.081  0.00
Si2 0.037 0.189 0.233  0.01
Si3 0.148 0.980 0.114  0.01
Si4 0.020 0.167 0.780  0.01
Si5 0.285 0.802 0.414  0.00
Si6 0.153 0.963 0.566  0.01
Si7 0.152 0.503 0.571  0.01
Si8 0.833 0.852 0.447  0.01
Si9 0.811 0.847 0.900  0.01
Si10 0.713 0.537 0.553  0.01
Si11 0.857 0.388 0.419  0.01
Si12 0.517 0.715 0.748  0.00
Si13 0.497 0.649 0.238  0.01
Si14 0.612 0.469 0.086  0.01
Si15 0.824 0.287 0.886  0.01
Si16 0.463 0.176 0.219  0.01
Si17 0.531 0.143 0.752  0.01
Si18 0.351 0.848 0.904  0.01
O1 0.229 0.390 0.562  -0.01
O2 0.263 0.478 0.962  0.00
O3 0.139 0.308 0.133  0.01
O4 0.206 0.228 0.790  0.00
O5 0.281 0.146 0.549  0.00
O6 0.300 0.010 0.187  0.00
O7 0.113 0.258 0.351  0.00
O8 0.191 0.069 0.000  0.00
O9 0.990 0.290 0.853  0.00
O10 0.050 0.035 0.197  -0.01
O11 0.169 0.861 0.467  0.01
O12 0.931 0.122 0.667  0.00
O13 0.215 0.737 0.296  0.00
O14 0.145 0.887 0.685  0.00
O15 0.854 0.135 0.215  0.00
O16 0.965 0.015 0.864  -0.01
O17 0.022 0.794 0.124  0.00
O18 0.161 0.771 0.895  -0.01
O19 0.259 0.651 0.489  0.00
O20 0.985 0.950 0.530  -0.01
O21 0.138 0.571 0.686  0.00
O22 0.878 0.809 0.333  0.00
O23 0.772 0.978 0.457  0.00
O24 0.742 0.855 0.018  0.00
O25 0.057 0.519 0.093  0.00
O26 0.865 0.719 0.882  0.00
O27 0.692 0.831 0.800  0.01
O28 0.710 0.700 0.520  0.00
O29 0.985 0.387 0.508  -0.01
O30 0.610 0.839 0.229  -0.01
O31 0.788 0.557 0.673  0.00
O32 0.942 0.434 0.302  0.01
O33 0.522 0.785 0.629  0.00
O34 0.824 0.525 0.461  0.00
O35 0.867 0.468 0.869  -0.01
O36 0.784 0.490 0.097  0.01
O37 0.613 0.598 0.175  -0.01
O38 0.769 0.212 0.006  0.00
O39 0.566 0.508 0.969  0.01
O40 0.429 0.567 0.353  0.00
O41 0.481 0.538 0.759  0.00
O42 0.706 0.216 0.430  0.01
O43 0.532 0.398 0.535  -0.01
O44 0.349 0.607 0.155  0.00
O45 0.700 0.176 0.794  0.00
O46 0.475 0.300 0.127  0.00
O47 0.510 0.294 0.764  0.01
O48 0.602 0.133 0.202  -0.01
O49 0.492 0.058 0.635  0.01
O50 0.443 0.231 0.339  0.00
O51 0.462 0.943 0.426  0.00
O52 0.402 0.015 0.842  -0.01
O53 0.433 0.862 0.020  0.00
O54 0.393 0.741 0.822  0.00